[1]
Density functional theory data (GGA-PBE) for Nd3Y4In4 after structural relaxation.

Summary:
The space group is Immm, No. 71. Its volume is 335.7 Å³/cell. Its total energy is -4.95 eV/atom.

Unit cell a=5.315 b=7.144 c=9.900 alpha=111.15 beta=105.57 gamma=90.00
Atoms (fractional coordinates):
Nd 0.103 0.103 0.207
Nd 0.897 0.897 0.793
Nd 0.000 0.500 0.000
Y 0.322 0.088 0.643
Y 0.678 0.445 0.357
Y 0.678 0.912 0.357
Y 0.322 0.555 0.643
In 0.179 0.679 0.358
In 0.821 0.321 0.642
In 0.500 0.789 0.000
In 0.500 0.211 0.000

[2]
Density functional theory data (GGA-PBE) for BaSrTc2 after structural relaxation.

Summary:
As for the offset from the most stable computed form: 345 meV/atom. The space group is C2/m, No. 12. Its volume is 143.6 Å³/cell.

Unit cell a=6.207 b=6.207 c=7.844 alpha=54.40 beta=54.40 gamma=37.02
Atoms (fractional coordinates):
Ba 0.750 0.750 0.750
Sr 0.250 0.250 0.250
Tc 0.015 0.015 0.158
Tc 0.485 0.485 0.342

[3]
Density functional theory data (GGA-PBE) for MnIn2Au after structural relaxation.

Summary:
As for the offset from the most stable computed form: 192 meV/atom. The space group is I-42d, No. 122. Its volume is 177.7 Å³/cell.

Unit cell a=7.830 b=7.830 c=6.249 alpha=51.21 beta=51.21 gamma=90.00
Atoms (fractional coordinates):
Mn 0.500 0.500 0.000
Mn 0.250 0.750 0.500
Au 0.000 0.000 0.000
Au 0.750 0.250 0.500
In 0.633 0.125 0.250
In 0.117 0.625 0.250
In 0.375 0.367 0.750
In 0.875 0.883 0.750

Number 1: Fermi-level density of states 1.04 states/eV/atom, size of the total moment 0.00 μB/cell. Number 2: Fermi-level density of states 1.11 states/eV/atom, size of the total moment 0.00 μB/cell. Number 3: Fermi-level density of states 0.54 states/eV/atom, size of the total moment 7.84 μB/cell.